Record 1
## BaIn3Tc (PBE)

Data for crystalline BaIn3Tc at its relaxed geometry.

Summary:
Space-group type: No. 221
Formation enthalpy at 0 K (eV/f.u.): 8.8

Unit cell a=6.219 b=6.219 c=6.219 alpha=90.00 beta=90.00 gamma=90.00
Element x y z (fractional)
Ba: 0.000 0.000 0.000
In: 0.000 0.000 0.500
In: 0.000 0.500 0.000
In: 0.500 0.000 0.000
Tc: 0.500 0.500 0.500

=====

Record 2
## BaInTc2 (PBE)

Data for crystalline BaInTc2 at its relaxed geometry.

Summary:
Space-group type: No. 12
Formation enthalpy at 0 K (eV/f.u.): 1.7

Unit cell a=5.223 b=5.223 c=6.238 alpha=108.27 beta=108.27 gamma=44.41
Element x y z (fractional)
Ba: 0.000 0.000 0.000
In: 0.500 0.500 0.500
Tc: 0.240 0.240 0.597
Tc: 0.760 0.760 0.403

=====

Record 3
## BaInTc2Te (PBE)

Data for crystalline BaInTc2Te at its relaxed geometry.

Summary:
Space-group type: No. 123
Total energy (eV/cell): -18.60

Unit cell a=5.442 b=5.442 c=6.317 alpha=90.00 beta=90.00 gamma=90.00
Element x y z (fractional)
Ba: 0.000 0.000 0.000
In: 0.500 0.500 0.500
Tc: 0.000 0.500 0.000
Tc: 0.500 0.000 0.000
Te: 0.000 0.000 0.500

=====

Record 4
## BaIn2Te2 (PBE)

Data for crystalline BaIn2Te2 at its relaxed geometry.

Summary:
Space-group type: No. 139
Total energy (eV/cell): -16.93

Unit cell a=6.493 b=6.493 c=6.493 alpha=125.08 beta=125.08 gamma=81.40
Element x y z (fractional)
Ba: 0.000 0.000 0.000
In: 0.351 0.351 0.000
In: 0.649 0.649 0.000
Te: 0.250 0.750 0.500
Te: 0.750 0.250 0.500

=====

Record 5
## BaIn3Te (PBE)

Data for crystalline BaIn3Te at its relaxed geometry.

Summary:
Space-group type: No. 221
Total energy (eV/cell): -12.82

Unit cell a=5.968 b=5.968 c=5.968 alpha=90.00 beta=90.00 gamma=90.00
Element x y z (fractional)
Ba: 0.000 0.000 0.000
In: 0.000 0.500 0.500
In: 0.500 0.000 0.500
In: 0.500 0.500 0.000
Te: 0.500 0.500 0.500

=====

Record 6
## Ba3In5Te12 (PBE)

Data for crystalline Ba3In5Te12 at its relaxed geometry.

Summary:
Space-group type: No. 230
Total energy (eV/cell): -276.89

Unit cell a=16.043 b=16.043 c=16.043 alpha=109.47 beta=109.47 gamma=109.47
Element x y z (fractional)
Ba: 0.125 0.250 0.375
Ba: 0.125 0.375 0.750
Ba: 0.250 0.375 0.125
Ba: 0.250 0.875 0.625
Ba: 0.375 0.125 0.250
Ba: 0.375 0.750 0.125
Ba: 0.625 0.250 0.875
Ba: 0.625 0.875 0.750
Ba: 0.750 0.125 0.375
Ba: 0.750 0.625 0.875
Ba: 0.875 0.625 0.250
Ba: 0.875 0.750 0.625
In: 0.000 0.000 0.000
In: 0.000 0.000 0.500
In: 0.000 0.500 0.000
In: 0.000 0.500 0.500
In: 0.125 0.750 0.875
In: 0.125 0.875 0.250
In: 0.250 0.125 0.875
In: 0.250 0.625 0.375
In: 0.375 0.250 0.625
In: 0.375 0.625 0.750
In: 0.500 0.000 0.000
In: 0.500 0.000 0.500
In: 0.500 0.500 0.000
In: 0.500 0.500 0.500
In: 0.625 0.375 0.250
In: 0.625 0.750 0.375
In: 0.750 0.375 0.625
In: 0.750 0.875 0.125
In: 0.875 0.125 0.750
In: 0.875 0.250 0.125
Te: 0.032 0.208 0.119
Te: 0.032 0.324 0.914
Te: 0.086 0.619 0.411
Te: 0.086 0.968 0.676
Te: 0.089 0.708 0.676
Te: 0.089 0.881 0.414
Te: 0.119 0.032 0.208
Te: 0.119 0.586 0.911
Te: 0.176 0.208 0.589
Te: 0.176 0.468 0.586
Te: 0.208 0.119 0.032
Te: 0.208 0.589 0.176
Te: 0.292 0.324 0.911
Te: 0.292 0.468 0.381
Te: 0.324 0.911 0.292
Te: 0.324 0.914 0.032
Te: 0.381 0.292 0.468
Te: 0.381 0.589 0.914
Te: 0.411 0.086 0.619
Te: 0.411 0.824 0.792
Te: 0.414 0.089 0.881
Te: 0.414 0.824 0.532
Te: 0.468 0.381 0.292
Te: 0.468 0.586 0.176
Te: 0.532 0.414 0.824
Te: 0.532 0.619 0.708
Te: 0.586 0.176 0.468
Te: 0.586 0.911 0.119
Te: 0.589 0.176 0.208
Te: 0.589 0.914 0.381
Te: 0.619 0.411 0.086
Te: 0.619 0.708 0.532
Te: 0.676 0.086 0.968
Te: 0.676 0.089 0.708
Te: 0.708 0.532 0.619
Te: 0.708 0.676 0.089
Te: 0.792 0.411 0.824
Te: 0.792 0.881 0.968
Te: 0.824 0.532 0.414
Te: 0.824 0.792 0.411
Te: 0.881 0.414 0.089
Te: 0.881 0.968 0.792
Te: 0.911 0.119 0.586
Te: 0.911 0.292 0.324
Te: 0.914 0.032 0.324
Te: 0.914 0.381 0.589
Te: 0.968 0.676 0.086
Te: 0.968 0.792 0.881

=====

Record 7
## BaIn2Te4 (PBE)

Data for crystalline BaIn2Te4 at its relaxed geometry.

Summary:
Space-group type: No. 66
Total energy (eV/cell): -50.88

Unit cell a=7.135 b=7.135 c=12.427 alpha=90.00 beta=90.00 gamma=118.88
Element x y z (fractional)
Ba: 0.000 0.000 0.250
Ba: 0.000 0.000 0.750
In: 0.262 0.734 0.000
In: 0.266 0.738 0.500
In: 0.734 0.262 0.500
In: 0.738 0.266 0.000
Te: 0.000 0.500 0.177
Te: 0.000 0.500 0.823
Te: 0.155 0.301 0.500
Te: 0.301 0.155 0.000
Te: 0.500 0.000 0.323
Te: 0.500 0.000 0.677
Te: 0.699 0.845 0.000
Te: 0.845 0.699 0.500

=====

Record 8
## BaIn2Te4 (PBE)

Data for crystalline BaIn2Te4 at its relaxed geometry.

Summary:
Space-group type: No. 97
Total energy (eV/cell): -25.34

Unit cell a=7.138 b=7.138 c=7.138 alpha=104.61 beta=104.61 gamma=119.71
Element x y z (fractional)
Ba: 0.000 0.000 0.000
In: 0.000 0.500 0.500
In: 0.500 0.000 0.500
Te: 0.071 0.571 0.141
Te: 0.429 0.929 0.859
Te: 0.571 0.429 0.500
Te: 0.929 0.071 0.500

=====

no.,magnetization (μB/atom)
1,0.527
2,0.000
3,1.319
4,0.000
5,0.000
6,0.000
7,0.000
8,0.000